Model 1:
PrSmScTl | PBE-GGA | optimized geometry

Cell: 5.4933 5.4933 5.4933 Å, 60.00 60.00 60.00°
Fractional coordinates of all 4 atoms:
Pr  0.0000  0.0000  0.0000
Sm  0.5000  0.5000  0.5000
Sc  0.2500  0.2500  0.2500
Tl  0.7500  0.7500  0.7500

Density of states at the Fermi level: 5.06 states/eV/f.u.
Total moment: 1.27 μB/f.u.

Model 2:
PrSmScTl | PBE-GGA | optimized geometry

Cell: 4.7990 4.7990 9.8489 Å, 90.00 90.00 90.00°
Fractional coordinates of all 8 atoms:
Pr  0.2500  0.7500  0.0000
Pr  0.7500  0.2500  0.0000
Sm  0.2500  0.2500  0.2595
Sm  0.7500  0.7500  0.7405
Sc  0.2500  0.7500  0.5000
Sc  0.7500  0.2500  0.5000
Tl  0.2500  0.2500  0.7204
Tl  0.7500  0.7500  0.2796

Density of states at the Fermi level: 4.77 states/eV/f.u.
Total moment: 0.92 μB/f.u.

Of them, model 2 has the highest stability.